Record 1
The following is a DFT calculation (PBE) of Cs4KRb4 after structural relaxation.

```
data_Cs4KRb4
_cell_length_a 15.5983
_cell_length_b 15.5983
_cell_length_c 7.3026
_cell_angle_alpha 90.00
_cell_angle_beta 90.00
_cell_angle_gamma 90.00
_space_group_name_H-M_alt 'I 4/m'
_space_group_IT_number 87
_space_group_name_Hall '-I 4'
loop_
_atom_site_label
_atom_site_type_symbol
_atom_site_fract_x
_atom_site_fract_y
_atom_site_fract_z
_atom_site_occupancy
Cs1 Cs 0.1643 0.1649 0.0000 1
K1 K 0.0000 0.0000 0.5000 1
Rb1 Rb 0.0002 0.3380 0.5000 1
```

Output
Total moment (μB/f.u.): 0.0
E_form (eV/atom): 0.0051
D(E_F) (states/eV/f.u.): 8.9
Uncorrected energy (eV/cell): -16.7

***

Record 2
The following is a DFT calculation (PBE) of Cs5K2Rb12 after structural relaxation.

```
data_Cs5K2Rb12
_cell_length_a 22.9722
_cell_length_b 13.1872
_cell_length_c 12.2075
_cell_angle_alpha 90.00
_cell_angle_beta 91.74
_cell_angle_gamma 90.00
_space_group_name_H-M_alt 'C 1 2/m 1'
_space_group_IT_number 12
loop_
_space_group_symop_operation_xyz
'x,y,z'
'-x,-y,-z'
'-x,y,-z'
'x,-y,z'
'x+1/2,y+1/2,z'
'-x+1/2,-y+1/2,-z'
'-x+1/2,y+1/2,-z'
'x+1/2,-y+1/2,z'
loop_
_atom_site_label
_atom_site_type_symbol
_atom_site_fract_x
_atom_site_fract_y
_atom_site_fract_z
_atom_site_occupancy
Cs1 Cs 0.0000 0.0000 0.0000 1
Cs2 Cs 0.2028 0.5000 0.5028 1
Cs3 Cs 0.2398 0.0000 0.0669 1
K1 K 0.0000 0.3255 0.5000 1
Rb1 Rb 0.0506 0.5000 0.8326 1
Rb2 Rb 0.0808 0.0000 0.3894 1
Rb3 Rb 0.1231 0.3006 0.1735 1
Rb4 Rb 0.1459 0.1865 0.7404 1
```

Output
Total moment (μB/f.u.): 0.0
E_form (eV/atom): 0.0174
D(E_F) (states/eV/f.u.): 18.0
Uncorrected energy (eV/cell): -35.5

***

Record 3
The following is a DFT calculation (PBE) of Cs3K3Rb after structural relaxation.

```
data_Cs3K3Rb
_cell_length_a 12.3051
_cell_length_b 12.3051
_cell_length_c 12.3051
_cell_angle_alpha 90.00
_cell_angle_beta 90.00
_cell_angle_gamma 90.00
_space_group_name_H-M_alt 'P m -3 n'
_space_group_IT_number 223
_space_group_name_Hall '-P 4n 2 3'
loop_
_atom_site_label
_atom_site_type_symbol
_atom_site_fract_x
_atom_site_fract_y
_atom_site_fract_z
_atom_site_occupancy
Cs1 Cs 0.0000 0.2500 0.5000 1
K1 K 0.0000 0.5000 0.2500 1
Rb1 Rb 0.0000 0.0000 0.0000 1
```

Output
Total moment (μB/f.u.): 0.0
E_form (eV/atom): 0.2626
D(E_F) (states/eV/f.u.): 8.4
Uncorrected energy (eV/cell): -10.0

***

Record 4
The following is a DFT calculation (PBE) of Cs10KRb4 after structural relaxation.

```
data_Cs10KRb4
_cell_length_a 18.1934
_cell_length_b 18.1934
_cell_length_c 11.4186
_cell_angle_alpha 90.00
_cell_angle_beta 90.00
_cell_angle_gamma 90.00
_space_group_name_H-M_alt 'I 4/m'
_space_group_IT_number 87
_space_group_name_Hall '-I 4'
loop_
_atom_site_label
_atom_site_type_symbol
_atom_site_fract_x
_atom_site_fract_y
_atom_site_fract_z
_atom_site_occupancy
Cs1 Cs 0.0000 0.5000 0.2500 1
Cs2 Cs 0.0982 0.1962 0.2452 1
K1 K 0.0000 0.0000 0.0000 1
Rb1 Rb 0.1009 0.7013 0.5000 1
```

Output
Total moment (μB/f.u.): 0.0
E_form (eV/atom): 0.0921
D(E_F) (states/eV/f.u.): 16.3
Uncorrected energy (eV/cell): -24.2

***

Record 5
The following is a DFT calculation (PBE) of Cs2K12Rb7 after structural relaxation.

```
data_Cs2K12Rb7
_cell_length_a 16.4379
_cell_length_b 16.4379
_cell_length_c 7.6902
_cell_angle_alpha 90.00
_cell_angle_beta 90.00
_cell_angle_gamma 120.00
_space_group_name_H-M_alt 'P -6'
_space_group_IT_number 174
loop_
_space_group_symop_operation_xyz
'x,y,z'
'-x+y,-x,-z'
'-y,x-y,z'
'x,y,-z'
'-x+y,-x,z'
'-y,x-y,-z'
loop_
_atom_site_label
_atom_site_type_symbol
_atom_site_fract_x
_atom_site_fract_y
_atom_site_fract_z
_atom_site_occupancy
Cs1 Cs 0.0000 0.0000 0.0000 1
Cs2 Cs 0.3333 0.6667 0.5000 1
K1 K 0.1644 0.3501 0.0000 1
K2 K 0.3401 0.0082 0.5000 1
K3 K 0.3411 0.1627 0.0000 1
K4 K 0.5059 0.3406 0.5000 1
Rb1 Rb 0.0145 0.8140 0.5000 1
Rb2 Rb 0.0239 0.5272 0.0000 1
Rb3 Rb 0.6667 0.3333 0.0000 1
```

Output
Total moment (μB/f.u.): 0.0
E_form (eV/atom): 0.0283
D(E_F) (states/eV/f.u.): 18.0
Uncorrected energy (eV/cell): -21.1

***

Record 6
The following is a DFT calculation (PBE) of CsK7Rb5 after structural relaxation.

```
data_CsK7Rb5
_cell_length_a 18.3287
_cell_length_b 17.0062
_cell_length_c 7.5876
_cell_angle_alpha 90.00
_cell_angle_beta 114.24
_cell_angle_gamma 90.00
_space_group_name_H-M_alt 'C 1 m 1'
_space_group_IT_number 8
loop_
_space_group_symop_operation_xyz
'x,y,z'
'x,-y,z'
'x+1/2,y+1/2,z'
'x+1/2,-y+1/2,z'
loop_
_atom_site_label
_atom_site_type_symbol
_atom_site_fract_x
_atom_site_fract_y
_atom_site_fract_z
_atom_site_occupancy
Cs1 Cs 0.0000 0.0000 0.0000 1
K1 K 0.0001 0.2195 0.4971 1
K2 K 0.1212 0.5000 0.6198 1
K3 K 0.2107 0.0000 0.7088 1
K4 K 0.3699 0.0000 0.3703 1
K5 K 0.4960 0.1237 0.9949 1
Rb1 Rb 0.1971 0.2005 0.1903 1
Rb2 Rb 0.2869 0.5000 0.2837 1
Rb3 Rb 0.2980 0.2977 0.7908 1
```

Output
Polymorph energy (0 for the lowest one) (eV per atom): 0.017
Total moment (μB/f.u.): 0.0
E_form (eV/atom): 0.0222
D(E_F) (states/eV/f.u.): 11.3
Uncorrected energy (eV/cell): -26.2